{
  "formula": "Li2CaNdAg2",
  "functional": "PBE",
  "state": "relaxed",
  "ef_ev_per_fu": -0.91,
  "mass_density_kg_m3": 4816,
  "dft_energy_ev_per_atom": -2.868,
  "spacegroup": "P-3m1, No. 164",
  "lattice": [[4.735, 0.000, 0.000], [-2.368, 4.101, 0.000], [0.000, 0.000, 7.350]],
  "species": ["Li", "Li", "Ca", "Nd", "Ag", "Ag"],
  "frac_coords": [[0.333, 0.667, 0.237], [0.667, 0.333, 0.763], [0.000, 0.000, 0.000], [0.000, 0.000, 0.500], [0.333, 0.667, 0.747], [0.667, 0.333, 0.253]]
}

***

{
  "formula": "Al4POs2",
  "functional": "PBE",
  "state": "relaxed",
  "ef_ev_per_fu": 4.62,
  "mass_density_kg_m3": 6471,
  "dft_energy_ev_per_atom": -5.460,
  "spacegroup": "I4/mmm, No. 139",
  "lattice": [[-2.340, 2.340, 6.084], [2.340, -2.340, 6.084], [2.340, 2.340, -6.084]],
  "species": ["Al", "Al", "Al", "Al", "P", "Os", "Os"],
  "frac_coords": [[0.000, 0.500, 0.500], [0.195, 0.195, 0.000], [0.500, 0.000, 0.500], [0.805, 0.805, 0.000], [0.000, 0.000, 0.000], [0.398, 0.398, 0.000], [0.602, 0.602, 0.000]]
}

***

{
  "formula": "ZnInPt2",
  "functional": "PBE",
  "state": "relaxed",
  "ef_ev_per_fu": -1.75,
  "mass_density_kg_m3": 14433,
  "dft_energy_ev_per_atom": -4.460,
  "spacegroup": "Cmmm, No. 65",
  "lattice": [[2.929, -3.773, 0.000], [2.929, 3.773, 0.000], [0.000, 0.000, 2.970]],
  "species": ["Zn", "In", "Pt", "Pt"],
  "frac_coords": [[0.000, 0.000, 0.000], [0.500, 0.500, 0.000], [0.000, 0.500, 0.500], [0.500, 0.000, 0.500]]
}

***

{
  "formula": "PrSbSeO2",
  "functional": "PBE",
  "state": "relaxed",
  "mass_density_kg_m3": 6008,
  "dft_energy_ev_per_atom": -6.398,
  "spacegroup": "P2_1/m, No. 11",
  "lattice": [[6.708, 0.000, 0.000], [0.000, 4.127, 0.000], [-2.013, 0.000, 7.460]],
  "species": ["Pr", "Pr", "Sb", "Sb", "Se", "Se", "O", "O", "O", "O"],
  "frac_coords": [[0.201, 0.250, 0.426], [0.799, 0.750, 0.574], [0.170, 0.250, 0.910], [0.830, 0.750, 0.090], [0.428, 0.750, 0.709], [0.572, 0.250, 0.291], [0.016, 0.750, 0.351], [0.020, 0.750, 0.901], [0.980, 0.250, 0.099], [0.984, 0.250, 0.649]]
}

***

{
  "formula": "Tm2CuPb",
  "functional": "PBE",
  "state": "relaxed",
  "ef_ev_per_fu": 0.28,
  "mass_density_kg_m3": 8829,
  "dft_energy_ev_per_atom": -4.116,
  "spacegroup": "R-3m, No. 166",
  "lattice": [[1.830, 1.057, 9.865], [-1.830, 1.057, 9.865], [0.000, -2.113, 9.865]],
  "species": ["Tm", "Tm", "Cu", "Pb"],
  "frac_coords": [[0.106, 0.106, 0.106], [0.894, 0.894, 0.894], [0.500, 0.500, 0.500], [0.000, 0.000, 0.000]]
}

***

{
  "formula": "BaCu4Si2",
  "functional": "PBE",
  "state": "relaxed",
  "mass_density_kg_m3": 5932,
  "dft_energy_ev_per_atom": -4.319,
  "spacegroup": "Cmmm, No. 65",
  "lattice": [[2.109, -6.929, 0.000], [2.109, 6.929, 0.000], [0.000, 0.000, 4.288]],
  "species": ["Ba", "Cu", "Cu", "Cu", "Cu", "Si", "Si"],
  "frac_coords": [[0.000, 0.000, 0.000], [0.198, 0.802, 0.500], [0.306, 0.694, 0.000], [0.694, 0.306, 0.000], [0.802, 0.198, 0.500], [0.381, 0.619, 0.500], [0.619, 0.381, 0.500]]
}

***

{
  "formula": "PuCdSn4",
  "functional": "PBE",
  "state": "relaxed",
  "ef_ev_per_fu": -0.10,
  "mass_density_kg_m3": 8356,
  "dft_energy_ev_per_atom": -5.227,
  "spacegroup": "F-43m, No. 216",
  "lattice": [[0.000, 4.355, 4.355], [4.355, 0.000, 4.355], [4.355, 4.355, 0.000]],
  "species": ["Pu", "Cd", "Sn", "Sn", "Sn", "Sn"],
  "frac_coords": [[0.000, 0.000, 0.000], [0.750, 0.750, 0.750], [0.375, 0.375, 0.375], [0.375, 0.375, 0.875], [0.375, 0.875, 0.375], [0.875, 0.375, 0.375]]
}

***

{
  "formula": "La2Ta2W",
  "functional": "PBE",
  "state": "relaxed",
  "ef_ev_per_fu": 2.76,
  "mass_density_kg_m3": 10862,
  "relative_energy_mev_per_atom": 0,
  "dft_energy_ev_per_atom": -8.750,
  "spacegroup": "P4/mbm, No. 127",
  "lattice": [[6.816, 0.000, 0.000], [0.000, 6.816, 0.000], [0.000, 0.000, 5.420]],
  "species": ["La", "La", "La", "La", "Ta", "Ta", "Ta", "Ta", "W", "W"],
  "frac_coords": [[0.172, 0.328, 0.000], [0.328, 0.828, 0.000], [0.672, 0.172, 0.000], [0.828, 0.672, 0.000], [0.146, 0.646, 0.500], [0.354, 0.146, 0.500], [0.646, 0.854, 0.500], [0.854, 0.354, 0.500], [0.000, 0.000, 0.500], [0.500, 0.500, 0.500]]
}